Record 1
VASP calculation (PBE) on a geometry-optimized La2Dy3HoSe6 structure.

Calculated values
crystal system	monoclinic
spin magnetization	0.00	μB per formula unit
raw formation energy	-42.07	kcal/mol of atoms

a b c (Å): 4.120 8.383 9.289
angles (deg): 103.45 102.81 90.00
Fractional coordinates of all 12 atoms:
La: 0.833 0.666 0.667
La: 0.167 0.334 0.333
Dy: 0.500 0.500 0.000
Dy: 0.830 0.166 0.660
Dy: 0.170 0.834 0.340
Ho: 0.500 0.000 0.000
Se: 0.336 0.930 0.671
Se: 0.662 0.594 0.324
Se: 0.664 0.070 0.329
Se: 0.994 0.246 0.989
Se: 0.006 0.754 0.011
Se: 0.338 0.406 0.676

***

Record 2
VASP calculation (PBE) on a geometry-optimized Ba3Bi4O12 structure.

Calculated values
crystal system	cubic
spin magnetization	0.00	μB per formula unit
raw formation energy	-36.14	kcal/mol of atoms

a b c (Å): 7.528 7.528 7.528
angles (deg): 109.47 109.47 109.47
Fractional coordinates of all 19 atoms:
Ba: 0.500 0.500 0.000
Ba: 0.000 0.500 0.500
Ba: 0.500 0.000 0.500
Bi: 0.500 0.500 0.500
Bi: 0.500 0.000 0.000
Bi: 0.000 0.000 0.500
Bi: 0.000 0.500 0.000
O: 0.251 0.726 0.977
O: 0.749 0.274 0.023
O: 0.251 0.274 0.525
O: 0.274 0.023 0.749
O: 0.977 0.251 0.726
O: 0.475 0.749 0.726
O: 0.726 0.475 0.749
O: 0.023 0.749 0.274
O: 0.749 0.726 0.475
O: 0.726 0.977 0.251
O: 0.525 0.251 0.274
O: 0.274 0.525 0.251

***

Record 3
VASP calculation (PBE) on a geometry-optimized NaCd2ReO6 structure.

Calculated values
crystal system	monoclinic
spin magnetization	0.00	μB per formula unit
raw formation energy	-31.66	kcal/mol of atoms

a b c (Å): 5.610 5.700 8.273
angles (deg): 90.00 91.21 90.00
Fractional coordinates of all 20 atoms:
Na: 0.500 0.000 0.000
Na: 0.000 0.500 0.500
Cd: 0.995 0.965 0.264
Cd: 0.495 0.535 0.764
Cd: 0.005 0.035 0.736
Cd: 0.505 0.465 0.236
Re: 0.500 0.000 0.500
Re: 0.000 0.500 0.000
O: 0.291 0.657 0.039
O: 0.791 0.843 0.539
O: 0.709 0.343 0.961
O: 0.209 0.157 0.461
O: 0.364 0.724 0.411
O: 0.864 0.776 0.911
O: 0.636 0.276 0.589
O: 0.136 0.224 0.089
O: 0.891 0.594 0.213
O: 0.391 0.906 0.713
O: 0.109 0.406 0.787
O: 0.609 0.094 0.287

***

Record 4
VASP calculation (PBE) on a geometry-optimized AgBTeF2 structure.

Calculated values
crystal system	tetragonal
spin magnetization	0.63	μB per formula unit
raw formation energy	2.82	kcal/mol of atoms

a b c (Å): 4.179 4.851 4.179
angles (deg): 90.00 90.00 90.00
Each line ends with the local moment (μB).
Fractional coordinates of all 5 atoms:
B: 0.000 0.500 0.000  -0.04
Te: 0.500 0.500 0.500  0.37
Ag: 0.000 0.000 0.000  -0.03
F: 0.000 0.000 0.500  0.05
F: 0.500 0.000 0.000  0.04

***

Record 5
VASP calculation (PBE) on a geometry-optimized ZnCuPt2 structure.

Calculated values
ΔE_f	-295	meV/atom
crystal system	monoclinic
spin magnetization	0.00	μB per formula unit

a b c (Å): 4.151 2.753 5.197
angles (deg): 74.80 90.00 90.00
Fractional coordinates of all 4 atoms:
Zn: 0.000 0.697 0.487
Cu: 0.500 0.551 0.766
Pt: 0.000 0.954 0.962
Pt: 0.500 0.298 0.286

***

Record 6
VASP calculation (PBE) on a geometry-optimized NpAsO6 structure.

Calculated values
crystal system	trigonal
spin magnetization	0.00	μB per formula unit
raw formation energy	-40.71	kcal/mol of atoms
energy above the most stable polymorph in this dataset	0	meV/atom

a b c (Å): 5.266 5.266 5.400
angles (deg): 60.82 60.82 60.00
Fractional coordinates of all 8 atoms:
Np: 0.500 0.500 0.500
As: 0.000 0.000 0.000
O: 0.155 0.322 0.761
O: 0.762 0.155 0.761
O: 0.678 0.238 0.239
O: 0.238 0.845 0.239
O: 0.845 0.678 0.239
O: 0.322 0.762 0.761

***

Record 7
VASP calculation (PBE) on a geometry-optimized LaTa2Cl structure.

Calculated values
crystal system	tetragonal
spin magnetization	0.00	μB per formula unit
raw formation energy	13.57	kcal/mol of atoms
energy above the most stable polymorph in this dataset	787	meV/atom

a b c (Å): 3.022 3.022 9.040
angles (deg): 90.00 90.00 90.00
Fractional coordinates of all 4 atoms:
Cl: 0.500 0.500 0.250
La: 0.500 0.500 0.750
Ta: 0.000 0.000 0.052
Ta: 0.000 0.000 0.448

***

Record 8
VASP calculation (PBE) on a geometry-optimized SiHg structure.

Calculated values
crystal system	hexagonal
spin magnetization	0.00	μB per formula unit
raw formation energy	13.73	kcal/mol of atoms
energy above the most stable polymorph in this dataset	450	meV/atom

a b c (Å): 4.541 4.541 5.631
angles (deg): 90.00 90.00 120.00
Fractional coordinates of all 4 atoms:
Si: 0.333 0.667 0.250
Si: 0.667 0.333 0.750
Hg: 0.333 0.667 0.750
Hg: 0.667 0.333 0.250